This record from Alexandria describes an optimized crystal structure of RbNb2V. The functional is PBE-GGA.

abc: 6.838 6.838 6.838
angles: 90.00 90.00 90.00
Space group Fm-3m (No. 225)
One atom of each set of equivalent atoms:
Rb: 0.000 0.000 0.000 (multiplicity 4)
Nb: 0.250 0.250 0.250 (multiplicity 8)
V: 0.000 0.000 0.500 (multiplicity 4)

Values from the calculation:
E_tot: -5.888 eV per atom
DOS at the Fermi energy: 1.85 states/eV per atom
crystal system: cubic
ΔE to the lowest computed polymorph: 0.0000 eV/atom